A plane-wave DFT calculation with PBEsol was carried out for a relaxed structure of LaCdPd.

abc: 7.6329 7.6329 4.0856
angles: 90.00 90.00 120.00
Last column: nearest neighbours and their distance in Å.
Space group P-62m (No. 189)
Symmetry-distinct sites (fractional):
La: 0.0000 0.4086 0.0000 (multiplicity 3)  5 Pd 3.08-3.12, 6 Cd 3.33-3.40
Cd: 0.0000 0.7527 0.5000 (multiplicity 3)  4 Pd 2.78-2.93
Pd: 0.0000 0.0000 0.0000 (multiplicity 1)  6 Cd 2.78
Pd: 0.3333 0.6667 0.5000 (multiplicity 2)  3 Cd 2.93, 6 La 3.08

Results
Energy of formation: -0.674 eV/atom
M_tot: 0.0 μB per formula unit
Uncorrected energy: -4.84 eV per atom
N(E_F): 0.70 states/eV/atom

***

A plane-wave DFT calculation with PBEsol was carried out for a relaxed structure of La2CdPd2.

abc: 7.7612 7.7612 3.9249
angles: 90.00 90.00 90.00
Last column: nearest neighbours and their distance in Å.
Space group P4/mbm (No. 127)
Symmetry-distinct sites (fractional):
La: 0.1741 0.3259 0.0000 (multiplicity 4)  6 Pd 2.92-3.08
Cd: 0.0000 0.0000 0.5000 (multiplicity 2)  4 Pd 3.05
Pd: 0.1285 0.6285 0.5000 (multiplicity 4)  1 Pd 2.82, 6 La 2.92-3.08, 2 Cd 3.05

Results
Energy of formation: -0.736 eV/atom
M_tot: 0.0 μB per formula unit
Uncorrected energy: -5.50 eV per atom
N(E_F): 0.63 states/eV/atom

***

A plane-wave DFT calculation with PBEsol was carried out for a relaxed structure of SrLaCd2Pd.

abc: 5.4658 5.4658 5.9491
angles: 90.00 90.00 90.00
Last column: nearest neighbours and their distance in Å.
Space group P4/mmm (No. 123)
Symmetry-distinct sites (fractional):
Sr: 0.0000 0.0000 0.0000 (multiplicity 1)  4 Cd 2.73, 2 La 2.97
La: 0.0000 0.0000 0.5000 (multiplicity 1)  2 Sr 2.97
Cd: 0.0000 0.5000 0.0000 (multiplicity 2)  2 Sr 2.73
Pd: 0.5000 0.5000 0.5000 (multiplicity 1)  4 La 3.86, 8 Cd 4.04

Results
Energy of formation: 1.252 eV/atom
M_tot: 0.0 μB per formula unit
Uncorrected energy: -1.86 eV per atom
N(E_F): 1.04 states/eV/atom

***

A plane-wave DFT calculation with PBEsol was carried out for a relaxed structure of LaY2CdPd.

abc: 5.5142 5.5142 4.9986
angles: 90.00 90.00 90.00
Last column: nearest neighbours and their distance in Å.
Space group P4/mmm (No. 123)
Symmetry-distinct sites (fractional):
La: 0.0000 0.0000 0.0000 (multiplicity 1)  8 Y 3.72, 4 Pd 3.90
Y: 0.0000 0.5000 0.5000 (multiplicity 2)  2 Cd 2.76
Cd: 0.5000 0.5000 0.5000 (multiplicity 1)  2 Pd 2.50, 4 Y 2.76
Pd: 0.5000 0.5000 0.0000 (multiplicity 1)  2 Cd 2.50

Results
Energy of formation: 0.345 eV/atom
M_tot: 0.7 μB per formula unit
Uncorrected energy: -4.88 eV per atom
N(E_F): 1.44 states/eV/atom

***

A plane-wave DFT calculation with PBEsol was carried out for a relaxed structure of LaCd2Pt2.

abc: 4.8922 4.8922 9.3033
angles: 90.00 90.00 90.00
Last column: nearest neighbours and their distance in Å.
Space group I4/mmm (No. 139)
Symmetry-distinct sites (fractional):
La: 0.0000 0.0000 0.0000 (multiplicity 2)  10 Cd 3.34-3.70, 8 Pt 3.38
Cd: 0.0000 0.0000 0.3590 (multiplicity 4)  1 Cd 2.62, 4 Pt 2.65
Pt: 0.0000 0.5000 0.2500 (multiplicity 4)  4 Cd 2.65

Results
Energy of formation: -0.405 eV/atom
M_tot: 0.0 μB per formula unit
ΔE to the lowest computed polymorph: 257 meV per atom
Uncorrected energy: -4.74 eV per atom
N(E_F): 0.45 states/eV/atom

***

A plane-wave DFT calculation with PBEsol was carried out for a relaxed structure of La2CdPt.

abc: 4.1190 4.1190 24.3561
angles: 90.00 90.00 120.00
Last column: nearest neighbours and their distance in Å.
Space group R-3m (No. 166, hexagonal axes)
Symmetry-distinct sites (fractional):
La: 0.0000 0.0000 0.2351 (multiplicity 6)  3 Pt 2.90
Cd: 0.0000 0.0000 0.0000 (multiplicity 3)  6 La 3.37
Pt: 0.0000 0.0000 0.5000 (multiplicity 3)  6 La 2.90

Results
Energy of formation: -0.595 eV/atom
M_tot: 0.0 μB per formula unit
Uncorrected energy: -5.31 eV per atom
N(E_F): 0.78 states/eV/atom

***

A plane-wave DFT calculation with PBEsol was carried out for a relaxed structure of La2CdPt.

abc: 3.7141 3.7141 7.5245
angles: 90.00 90.00 90.00
Last column: nearest neighbours and their distance in Å.
Space group P4/mmm (No. 123)
Symmetry-distinct sites (fractional):
La: 0.0000 0.0000 0.2208 (multiplicity 2)  4 Pt 3.11, 1 La 3.32, 4 Cd 3.36
Cd: 0.5000 0.5000 0.5000 (multiplicity 1)  8 La 3.36, 4 Cd 3.71, 2 Pt 3.76
Pt: 0.5000 0.5000 0.0000 (multiplicity 1)  8 La 3.11

Results
Energy of formation: -0.664 eV/atom
M_tot: 0.0 μB per formula unit
Uncorrected energy: -5.38 eV per atom
N(E_F): 0.86 states/eV/atom

***

A plane-wave DFT calculation with PBEsol was carried out for a relaxed structure of LaCd3Pt.

abc: 5.7377 5.7377 5.7377
angles: 90.00 90.00 90.00
Last column: nearest neighbours and their distance in Å.
Space group Pm-3m (No. 221)
Symmetry-distinct sites (fractional):
La: 0.0000 0.0000 0.0000 (multiplicity 1)  6 Cd 2.87
Cd: 0.0000 0.0000 0.5000 (multiplicity 3)  2 La 2.87
Pt: 0.5000 0.5000 0.5000 (multiplicity 1)  12 Cd 4.06

Results
Energy of formation: 1.571 eV/atom
M_tot: 0.0 μB per formula unit
Uncorrected energy: -1.61 eV per atom
N(E_F): 0.85 states/eV/atom